This record from Alexandria via LeMat-Bulk describes a relaxed structure of CrTe2Pt. The functional is GGA-PBE.

Values from the calculation:
- V (Å³/cell) = 189.33
- ρ (g/cm³) = 8.8
- distance to the lowest polymorph of the same formula (meV per atom) = 339
- magnetization (Bohr magnetons per cell) = 9.24
- E_tot (eV/atom) = -5.330
- raw formation energy (eV/atom) = 0.16

Cell: 6.053 7.787 4.017 Å, 90.00 90.00 90.00°
Space group Cmmm (No. 65)
Unique sites:
Cr 0.000 0.000 0.000 (multiplicity 2)
Te 0.000 0.266 0.500 (multiplicity 4)
Pt 0.000 0.500 0.000 (multiplicity 2)

***

This record from Alexandria via LeMat-Bulk describes a relaxed structure of CrTe2Pt. The functional is GGA-PBE.

Values from the calculation:
- V (Å³/cell) = 208.53
- ρ (g/cm³) = 8.0
- distance to the lowest polymorph of the same formula (meV per atom) = 0
- magnetization (Bohr magnetons per cell) = 7.13
- E_tot (eV/atom) = -5.669
- raw formation energy (eV/atom) = -0.18

Cell: 3.981 4.065 12.888 Å, 90.00 90.00 90.00°
Space group Immm (No. 71)
Unique sites:
Cr 0.000 0.000 0.000 (multiplicity 2)
Te 0.000 0.500 0.143 (multiplicity 4)
Pt 0.000 0.000 0.500 (multiplicity 2)

***

This record from Alexandria via LeMat-Bulk describes a relaxed structure of CrTe2Pt. The functional is GGA-PBE.

Values from the calculation:
- V (Å³/cell) = 168.27
- ρ (g/cm³) = 9.9
- distance to the lowest polymorph of the same formula (meV per atom) = 425
- magnetization (Bohr magnetons per cell) = 7.19
- E_tot (eV/atom) = -5.243
- raw formation energy (eV/atom) = 0.24

Cell: 4.048 4.048 10.270 Å, 90.00 90.00 90.00°
Space group I-4m2 (No. 119)
Unique sites:
Cr 0.000 0.000 0.000 (multiplicity 2)
Te 0.000 0.000 0.500 (multiplicity 2)
Te 0.000 0.500 0.250 (multiplicity 2)
Pt 0.000 0.500 0.750 (multiplicity 2)

***

This record from Alexandria via LeMat-Bulk describes a relaxed structure of CrTe2Pt. The functional is GGA-PBE.

Values from the calculation:
- V (Å³/cell) = 179.22
- ρ (g/cm³) = 9.3
- distance to the lowest polymorph of the same formula (meV per atom) = 212
- magnetization (Bohr magnetons per cell) = 8.15
- E_tot (eV/atom) = -5.457
- raw formation energy (eV/atom) = 0.03

Cell: 7.103 4.083 6.609 Å, 90.00 110.77 90.00°
Space group C2/m (No. 12)
Unique sites:
Cr 0.000 0.000 0.000 (multiplicity 2)
Te 0.249 0.000 0.746 (multiplicity 4)
Pt 0.000 0.500 0.500 (multiplicity 2)

***

This record from Alexandria via LeMat-Bulk describes a relaxed structure of CrTe2Pt. The functional is GGA-PBE.

Values from the calculation:
- V (Å³/cell) = 185.53
- ρ (g/cm³) = 9.0
- distance to the lowest polymorph of the same formula (meV per atom) = 292
- magnetization (Bohr magnetons per cell) = 7.92
- E_tot (eV/atom) = -5.377
- raw formation energy (eV/atom) = 0.11

Cell: 5.564 5.564 5.992 Å, 90.00 90.00 90.00°
Space group I4/mmm (No. 139)
Unique sites:
Cr 0.000 0.000 0.000 (multiplicity 2)
Te 0.000 0.500 0.000 (multiplicity 4)
Pt 0.000 0.000 0.500 (multiplicity 2)

***

This record from Alexandria via LeMat-Bulk describes a relaxed structure of CrTePt4. The functional is GGA-PBE.

Values from the calculation:
- V (Å³/cell) = 431.91
- ρ (g/cm³) = 14.8
- magnetization (Bohr magnetons per cell) = 17.03
- E_tot (eV/atom) = -6.018
- raw formation energy (eV/atom) = 0.14

Cell: 7.559 7.559 7.559 Å, 90.00 90.00 90.00°
Space group F-43m (No. 216)
Unique sites:
Cr 0.000 0.000 0.000 (multiplicity 4)
Te 0.250 0.250 0.250 (multiplicity 4)
Pt 0.125 0.125 0.625 (multiplicity 16)

***

This record from Alexandria via LeMat-Bulk describes a relaxed structure of CrTe2Pt. The functional is GGA-PBE.

Values from the calculation:
- V (Å³/cell) = 201.54
- ρ (g/cm³) = 8.3
- distance to the lowest polymorph of the same formula (meV per atom) = 177
- magnetization (Bohr magnetons per cell) = 6.72
- E_tot (eV/atom) = -5.492
- raw formation energy (eV/atom) = -0.01

Cell: 3.656 3.671 15.014 Å, 90.00 90.00 90.00°
Space group Imm2 (No. 44)
Unique sites:
Cr 0.000 0.000 0.000 (multiplicity 2)
Te 0.000 0.000 0.428 (multiplicity 2)
Te 0.000 0.500 0.189 (multiplicity 2)
Pt 0.000 0.500 0.637 (multiplicity 2)

***

This record from Alexandria via LeMat-Bulk describes a relaxed structure of Cr4TePt. The functional is GGA-PBE.

Values from the calculation:
- V (Å³/cell) = 335.08
- ρ (g/cm³) = 10.5
- magnetization (Bohr magnetons per cell) = 0.00
- E_tot (eV/atom) = -7.556
- raw formation energy (eV/atom) = 0.39

Cell: 6.946 6.946 6.946 Å, 90.00 90.00 90.00°
Space group F-43m (No. 216)
Unique sites:
Cr 0.123 0.123 0.123 (multiplicity 16)
Te 0.000 0.000 0.500 (multiplicity 4)
Pt 0.250 0.250 0.750 (multiplicity 4)

***

Question: Which of these has the highest ρ?
Answer: CrTePt4